First-principles (PBE-GGA) data for an optimized crystal structure of PrSmY2, as listed in Alexandria.

Size of the total moment in μB per atom: 0.00
DOS at the Fermi energy in states/eV per atom: 1.462
Space group: R3m (160)
E_tot in eV per cell: -22.36
Formation energy in eV/atom: 0.02

Cell: 11.928 11.928 11.928 Å, 17.54 17.54 17.54°
Fractional coordinates of all 4 atoms:
Pr 0.000 0.000 0.000
Sm 0.166 0.166 0.166
Y 0.582 0.582 0.582
Y 0.751 0.751 0.751


First-principles (PBE-GGA) data for an optimized crystal structure of La2Pd4Rh, as listed in Alexandria.

Size of the total moment in μB per atom: 0.00
DOS at the Fermi energy in states/eV per atom: 0.668
Space group: I4/mmm (139)
E_tot in eV per cell: -42.74
Formation energy in eV/atom: -0.68

Cell: 5.988 5.988 5.988 Å, 122.63 122.63 85.50°
Fractional coordinates of all 7 atoms:
La 0.000 0.500 0.500
La 0.500 0.000 0.500
Pd 0.000 0.000 0.500
Pd 0.000 0.500 0.000
Pd 0.500 0.000 0.000
Pd 0.500 0.500 0.500
Rh 0.000 0.000 0.000


First-principles (PBE-GGA) data for an optimized crystal structure of TmMnTlBr6, as listed in Alexandria.

Size of the total moment in μB per atom: 0.56
DOS at the Fermi energy in states/eV per atom: 0.000
Space group: P-31c (163)
E_tot in eV per cell: -75.31
Energy relative to the elements, uncorrected in eV/atom: -1.290

Cell: 7.105 7.105 14.733 Å, 90.00 90.00 120.00°
Fractional coordinates of all 18 atoms:
Tm 0.333 0.667 0.250
Tm 0.667 0.333 0.750
Mn 0.333 0.667 0.750
Mn 0.667 0.333 0.250
Tl 0.000 0.000 0.000
Tl 0.000 0.000 0.500
Br 0.008 0.376 0.643
Br 0.008 0.632 0.857
Br 0.368 0.376 0.857
Br 0.368 0.992 0.643
Br 0.376 0.008 0.143
Br 0.376 0.368 0.357
Br 0.624 0.632 0.643
Br 0.624 0.992 0.857
Br 0.632 0.008 0.357
Br 0.632 0.624 0.143
Br 0.992 0.368 0.143
Br 0.992 0.624 0.357


First-principles (PBE-GGA) data for an optimized crystal structure of TlHgO2, as listed in Alexandria.

Size of the total moment in μB per atom: 0.00
DOS at the Fermi energy in states/eV per atom: 0.424
Space group: Fm-3m (225)
E_tot in eV per cell: -12.29
Energy relative to the elements, uncorrected in eV/atom: 0.075

Cell: 4.374 4.374 4.374 Å, 60.00 60.00 60.00°
Fractional coordinates of all 4 atoms:
Tl 0.000 0.000 0.000
Hg 0.500 0.500 0.500
O 0.250 0.250 0.250
O 0.750 0.750 0.750